1.
The following is a DFT calculation (PBE-GGA) of a relaxed Pr3SnBi2 crystal.

```
Pr3SnBi2
1.0
4.004 -6.930 0.000
4.004 6.930 0.000
-2.668 0.000 7.496
Pr Sn Bi
6 2 4
Direct
0.000 0.500 0.000
0.164 0.330 0.497
0.330 0.164 0.997
0.500 0.000 0.500
0.670 0.836 0.003
0.836 0.670 0.503
0.085 0.915 0.250
0.915 0.085 0.750
0.252 0.748 0.750
0.417 0.583 0.250
0.583 0.417 0.750
0.748 0.252 0.250
```

The calculation puts the raw total energy at -62.17 eV per cell. The magnetic moment comes out at 0.0 μB/cell. For the density of states at the Fermi level, the calculation gives 3.02 states/eV/f.u. For the formation energy, the calculation gives -830 meV/atom. For the volume, the calculation gives 208.0 Å³/f.u. As for the density: 7.7 g/cm3.


2.
The following is a DFT calculation (PBE-GGA) of a relaxed BaTeBr2 crystal.

```
BaTeBr2
1.0
5.318 0.000 0.000
0.000 5.318 0.000
0.000 0.000 21.197
Ba Te Br
4 4 8
Direct
0.000 0.000 0.000
0.000 0.500 0.250
0.500 0.000 0.750
0.500 0.500 0.500
0.000 0.000 0.500
0.000 0.500 0.750
0.500 0.000 0.250
0.500 0.500 0.000
0.229 0.250 0.625
0.250 0.729 0.875
0.250 0.771 0.375
0.271 0.250 0.125
0.729 0.750 0.125
0.750 0.229 0.375
0.750 0.271 0.875
0.771 0.750 0.625
```

The calculation puts the raw total energy at -51.68 eV per cell. The value obtained for the formation energy from raw total energies is -1.13 eV/atom. The magnetic moment comes out at 0.0 μB/cell. For the density of states at the Fermi level, the calculation gives 0.24 states/eV/f.u. For the volume, the calculation gives 149.9 Å³/f.u. As for the density: 4.7 g/cm3.


3.
The following is a DFT calculation (PBE-GGA) of a relaxed Ca3H4Rh2 crystal.

```
Ca3H4Rh2
1.0
5.291 -1.676 0.000
5.291 1.676 0.000
-2.912 0.000 7.950
Ca H Rh
3 4 2
Direct
0.000 0.000 0.000
0.335 0.335 0.344
0.665 0.665 0.656
0.043 0.043 0.337
0.314 0.314 0.845
0.686 0.686 0.155
0.957 0.957 0.663
0.405 0.405 0.702
0.595 0.595 0.298
```

The calculation puts the raw total energy at -37.63 eV per cell. The magnetic moment comes out at 0.0 μB/cell. For the density of states at the Fermi level, the calculation gives 3.74 states/eV/f.u. For the volume, the calculation gives 141.0 Å³/f.u. As for the density: 3.9 g/cm3.